Dy3ZnGe2, optimized geometry, DFT PBE; space group = Pnma (62); magnetic moment = 0.00 μB/f.u.; calculated formation energy = -4.24 eV/f.u.; VASP energy = -4.759 eV per atom
1.0
4.2261 0.0000 0.0000
0.0000 11.5342 0.0000
0.0000 0.0000 11.4613
Dy Zn Ge
12 4 8
Cartesian
1.0565 4.3464 0.6376 Dy
3.1696 7.1878 10.8237 Dy
3.1696 10.1135 5.0930 Dy
1.0565 1.4207 6.3683 Dy
1.0565 8.0361 2.3436 Dy
3.1696 3.4981 9.1177 Dy
3.1696 2.2690 3.3870 Dy
1.0565 9.2652 8.0743 Dy
1.0565 5.0177 4.2558 Dy
3.1696 6.5165 7.2055 Dy
3.1696 10.7848 1.4749 Dy
1.0565 0.7494 9.9864 Dy
1.0565 1.5784 1.5754 Zn
3.1696 9.9558 9.8859 Zn
3.1696 7.3455 4.1553 Zn
1.0565 4.1887 7.3061 Zn
1.0565 7.8493 5.5234 Ge
3.1696 3.6849 5.9379 Ge
3.1696 2.0822 0.2072 Ge
1.0565 9.4521 11.2541 Ge
1.0565 11.5258 3.6131 Ge
3.1696 0.0084 7.8482 Ge
3.1696 5.7587 2.1176 Ge
1.0565 5.7755 9.3437 Ge